[1]
The following is a PBE-GGA calculation of Zr2In2Fe after structural relaxation, from the Alexandria database.

a b c (Å): 3.904 3.904 14.677
angles (deg): 90.00 90.00 90.00
Sites, in units of the cell vectors:
Zr 0.000 0.500 0.250
Zr 0.000 0.500 0.750
Zr 0.500 0.000 0.250
Zr 0.500 0.000 0.750
In 0.000 0.000 0.090
In 0.000 0.000 0.910
In 0.500 0.500 0.410
In 0.500 0.500 0.590
Fe 0.000 0.000 0.500
Fe 0.500 0.500 0.000

## Properties
Energy ... -55.048 eV/cell
Energy above the lowest structure with this stoichiometry ... 665 meV per atom
Formation energy ... 0.702 eV/atom
DOS(E_F) ... 8.65 states/eV/f.u.
Space-group type ... I4/mmm (139)

---

[2]
The following is a PBE-GGA calculation of Nd4InGaHg2 after structural relaxation, from the Alexandria database.

a b c (Å): 9.352 9.352 9.352
angles (deg): 33.64 33.64 33.64
Sites, in units of the cell vectors:
Nd 0.120 0.120 0.120
Nd 0.370 0.370 0.370
Nd 0.630 0.630 0.630
Nd 0.880 0.880 0.880
In 0.500 0.500 0.500
Ga 0.000 0.000 0.000
Hg 0.245 0.245 0.245
Hg 0.755 0.755 0.755

## Properties
Energy ... -29.347 eV/cell
Formation energy ... -0.488 eV/atom
DOS(E_F) ... 10.17 states/eV/f.u.
Space-group type ... R-3m (166)

---

[3]
The following is a PBE-GGA calculation of BaNF after structural relaxation, from the Alexandria database.

a b c (Å): 3.665 3.665 16.492
angles (deg): 90.00 90.00 90.00
Sites, in units of the cell vectors:
Ba 0.000 0.000 0.135
Ba 0.000 0.000 0.865
Ba 0.500 0.500 0.365
Ba 0.500 0.500 0.635
N 0.000 0.000 0.462
N 0.000 0.000 0.538
N 0.500 0.500 0.038
N 0.500 0.500 0.962
F 0.000 0.000 0.296
F 0.000 0.000 0.704
F 0.500 0.500 0.204
F 0.500 0.500 0.796

## Properties
Energy ... -71.359 eV/cell
Raw formation energy ... -5.7 eV per formula unit
DOS(E_F) ... 0.98 states/eV/f.u.
Space-group type ... I4/mmm (139)

---

[4]
The following is a PBE-GGA calculation of NaZn2Br6 after structural relaxation, from the Alexandria database.

a b c (Å): 10.310 10.310 6.981
angles (deg): 102.06 102.06 85.67
Sites, in units of the cell vectors:
Na 0.076 0.924 0.750
Na 0.924 0.076 0.250
Zn 0.203 0.343 0.762
Zn 0.343 0.203 0.262
Zn 0.657 0.797 0.738
Zn 0.797 0.657 0.238
Br 0.026 0.190 0.659
Br 0.114 0.548 0.950
Br 0.190 0.026 0.159
Br 0.273 0.405 0.479
Br 0.405 0.273 0.979
Br 0.452 0.886 0.550
Br 0.548 0.114 0.450
Br 0.595 0.727 0.021
Br 0.727 0.595 0.521
Br 0.810 0.974 0.841
Br 0.886 0.452 0.050
Br 0.974 0.810 0.341

## Properties
Energy ... -42.915 eV/cell
Raw formation energy ... -7.6 eV per formula unit
Space-group type ... C2/c (15)

---

[5]
The following is a PBE-GGA calculation of Dy3ZnCd after structural relaxation, from the Alexandria database.

a b c (Å): 10.206 10.206 5.148
angles (deg): 90.00 90.00 150.79
Sites, in units of the cell vectors:
Dy 0.064 0.936 0.750
Dy 0.250 0.750 0.750
Dy 0.436 0.564 0.750
Dy 0.564 0.436 0.250
Dy 0.750 0.250 0.250
Dy 0.936 0.064 0.250
Zn 0.157 0.843 0.250
Zn 0.843 0.157 0.750
Cd 0.342 0.658 0.250
Cd 0.658 0.342 0.750

## Properties
Energy ... -34.321 eV/cell
Formation energy ... -0.233 eV/atom
DOS(E_F) ... 6.32 states/eV/f.u.
Space-group type ... Cmcm (63)

---

[6]
The following is a PBE-GGA calculation of Ca3Si2Pd4 after structural relaxation, from the Alexandria database.

a b c (Å): 5.813 5.813 8.884
angles (deg): 110.43 110.43 42.47
Sites, in units of the cell vectors:
Ca 0.000 0.000 0.000
Ca 0.376 0.376 0.303
Ca 0.624 0.624 0.697
Si 0.344 0.344 0.695
Si 0.656 0.656 0.305
Pd 0.149 0.149 0.434
Pd 0.283 0.283 0.924
Pd 0.717 0.717 0.076
Pd 0.851 0.851 0.566

## Properties
Energy ... -44.305 eV/cell
Raw formation energy ... -6.7 eV per formula unit
Energy above the lowest structure with this stoichiometry ... 4 meV per atom
DOS(E_F) ... 3.24 states/eV/f.u.
Space-group type ... C2/m (12)

---

[7]
The following is a PBE-GGA calculation of ZnAgPb2 after structural relaxation, from the Alexandria database.

a b c (Å): 10.857 3.414 5.586
angles (deg): 90.00 110.10 90.00
Sites, in units of the cell vectors:
Zn 0.000 0.000 0.000
Zn 0.500 0.500 0.000
Ag 0.192 0.500 0.271
Ag 0.692 0.000 0.271
Pb 0.248 0.000 0.820
Pb 0.455 0.000 0.470
Pb 0.748 0.500 0.820
Pb 0.955 0.500 0.470

## Properties
Energy ... -22.172 eV/cell
Formation energy ... 0.114 eV/atom
DOS(E_F) ... 1.25 states/eV/f.u.
Space-group type ... Cm (8)

---

[8]
The following is a PBE-GGA calculation of Ca7VN6 after structural relaxation, from the Alexandria database.

a b c (Å): 11.140 6.329 12.928
angles (deg): 90.00 90.00 90.00
Sites, in units of the cell vectors:
Ca 0.000 0.049 0.250
Ca 0.000 0.951 0.750
Ca 0.036 0.229 0.519
Ca 0.036 0.771 0.019
Ca 0.213 0.389 0.120
Ca 0.213 0.611 0.620
Ca 0.232 0.341 0.872
Ca 0.232 0.659 0.372
Ca 0.268 0.159 0.372
Ca 0.268 0.841 0.872
Ca 0.287 0.111 0.620
Ca 0.287 0.889 0.120
Ca 0.464 0.271 0.019
Ca 0.464 0.729 0.519
Ca 0.500 0.451 0.750
Ca 0.500 0.549 0.250
Ca 0.536 0.271 0.481
Ca 0.536 0.729 0.981
Ca 0.713 0.111 0.880
Ca 0.713 0.889 0.380
Ca 0.732 0.159 0.128
Ca 0.732 0.841 0.628
Ca 0.768 0.341 0.628
Ca 0.768 0.659 0.128
Ca 0.787 0.389 0.380
Ca 0.787 0.611 0.880
Ca 0.964 0.229 0.981
Ca 0.964 0.771 0.481
V 0.000 0.450 0.750
V 0.000 0.550 0.250
V 0.500 0.050 0.250
V 0.500 0.950 0.750
N 0.064 0.382 0.352
N 0.064 0.618 0.852
N 0.122 0.278 0.700
N 0.122 0.722 0.200
N 0.163 0.088 0.995
N 0.163 0.912 0.495
N 0.337 0.412 0.495
N 0.337 0.588 0.995
N 0.378 0.222 0.200
N 0.378 0.778 0.700
N 0.436 0.118 0.852
N 0.436 0.882 0.352
N 0.564 0.118 0.648
N 0.564 0.882 0.148
N 0.622 0.222 0.300
N 0.622 0.778 0.800
N 0.663 0.412 0.005
N 0.663 0.588 0.505
N 0.837 0.088 0.505
N 0.837 0.912 0.005
N 0.878 0.278 0.800
N 0.878 0.722 0.300
N 0.936 0.382 0.148
N 0.936 0.618 0.648

## Properties
Energy ... -344.833 eV/cell
Raw formation energy ... -13.1 eV per formula unit
DOS(E_F) ... 2.05 states/eV/f.u.
Space-group type ... Pbcn (60)

---

[9]
The following is a PBE-GGA calculation of SbS2O after structural relaxation, from the Alexandria database.

a b c (Å): 6.316 6.316 6.316
angles (deg): 90.00 90.00 90.00
Sites, in units of the cell vectors:
Sb 0.000 0.000 0.000
Sb 0.000 0.500 0.500
Sb 0.500 0.000 0.500
Sb 0.500 0.500 0.000
S 0.250 0.250 0.250
S 0.250 0.250 0.750
S 0.250 0.750 0.250
S 0.250 0.750 0.750
S 0.750 0.250 0.250
S 0.750 0.250 0.750
S 0.750 0.750 0.250
S 0.750 0.750 0.750
O 0.000 0.000 0.500
O 0.000 0.500 0.000
O 0.500 0.000 0.000
O 0.500 0.500 0.500

## Properties
Energy ... -59.378 eV/cell
Raw formation energy ... 2.5 eV per formula unit
Energy above the lowest structure with this stoichiometry ... 505 meV per atom
DOS(E_F) ... 5.05 states/eV/f.u.
Space-group type ... Fm-3m (225)

---

[10]
The following is a PBE-GGA calculation of TlGaRhO4 after structural relaxation, from the Alexandria database.

a b c (Å): 6.352 6.352 6.352
angles (deg): 120.13 119.47 90.35
Sites, in units of the cell vectors:
Tl 0.500 0.000 0.000
Tl 0.500 0.500 0.500
Ga 0.118 0.368 0.750
Ga 0.882 0.632 0.250
Rh 0.000 0.000 0.000
Rh 0.500 0.000 0.500
O 0.223 0.237 0.987
O 0.238 0.223 0.485
O 0.238 0.753 0.015
O 0.250 0.763 0.487
O 0.750 0.237 0.513
O 0.762 0.247 0.985
O 0.762 0.777 0.515
O 0.777 0.763 0.013

## Properties
Energy ... -77.061 eV/cell
Raw formation energy ... -6.0 eV per formula unit
DOS(E_F) ... 2.89 states/eV/f.u.
Space-group type ... Imma (74)

---

[11]
The following is a PBE-GGA calculation of Ga2HgTe3 after structural relaxation, from the Alexandria database.

a b c (Å): 13.623 13.623 7.735
angles (deg): 103.20 103.20 17.81
Sites, in units of the cell vectors:
Ga 0.054 0.054 0.447
Ga 0.301 0.301 0.491
Ga 0.699 0.699 0.509
Ga 0.946 0.946 0.553
Hg 0.357 0.357 0.106
Hg 0.643 0.643 0.894
Te 0.038 0.038 0.766
Te 0.235 0.235 0.718
Te 0.397 0.397 0.669
Te 0.603 0.603 0.331
Te 0.765 0.765 0.282
Te 0.962 0.962 0.234

## Properties
Energy ... -34.194 eV/cell
Raw formation energy ... -1.3 eV per formula unit
DOS(E_F) ... 0.88 states/eV/f.u.
Space-group type ... C2/m (12)

---

[12]
The following is a PBE-GGA calculation of MgAg2Sn2 after structural relaxation, from the Alexandria database.

a b c (Å): 7.345 7.345 4.227
angles (deg): 90.00 90.00 90.00
Sites, in units of the cell vectors:
Mg 0.000 0.000 0.000
Mg 0.500 0.500 0.000
Ag 0.137 0.363 0.000
Ag 0.363 0.863 0.000
Ag 0.637 0.137 0.000
Ag 0.863 0.637 0.000
Sn 0.168 0.668 0.500
Sn 0.332 0.168 0.500
Sn 0.668 0.832 0.500
Sn 0.832 0.332 0.500

## Properties
Energy ... -30.501 eV/cell
Energy above the lowest structure with this stoichiometry ... 0 meV per atom
Formation energy ... 0.010 eV/atom
DOS(E_F) ... 2.43 states/eV/f.u.
Space-group type ... P4/mbm (127)